[1]
The following is a DFT calculation (GGA-PBE) of a geometry-optimized Al2CdGa4 structure.

Output
Its calculated total energy is -2.87 eV per atom.

abc: 5.4791 5.9329 5.9329
angles: 64.99 57.43 57.43
Element x y z (fractional)
Al (0.7565, 0.4983, 0.4983)
Al (0.2435, 0.5017, 0.5017)
Ga (0.7029, 0.5851, 0.0039)
Ga (0.2971, 0.4149, 0.9961)
Ga (0.7029, 0.0039, 0.5851)
Ga (0.2971, 0.9961, 0.4149)
Cd (0.0000, 0.0000, 0.0000)

=====

[2]
The following is a DFT calculation (GGA-PBE) of a geometry-optimized AlCdGa3 structure.

Output
Its calculated total energy is -2.43 eV per atom. For the energy above the lowest structure with this stoichiometry, the calculation gives 256.7 meV/atom.

abc: 4.9994 4.9994 4.9994
angles: 90.00 90.00 90.00
Element x y z (fractional)
Al (0.0000, 0.0000, 0.0000)
Ga (0.0000, 0.5000, 0.0000)
Ga (0.0000, 0.0000, 0.5000)
Ga (0.5000, 0.0000, 0.0000)
Cd (0.5000, 0.5000, 0.5000)

=====

[3]
The following is a DFT calculation (GGA-PBE) of a geometry-optimized AlCdGa2 structure.

Output
Its calculated total energy is -2.63 eV per atom. For the energy above the lowest structure with this stoichiometry, the calculation gives 12.9 meV/atom.

abc: 2.9538 2.9538 10.6523
angles: 82.03 82.03 60.00
Element x y z (fractional)
Al (0.5000, 0.5000, 0.5000)
Ga (0.0930, 0.0930, 0.7211)
Ga (0.9070, 0.9070, 0.2789)
Cd (0.0000, 0.0000, 0.0000)

=====

[4]
The following is a DFT calculation (GGA-PBE) of a geometry-optimized AlCdGa structure.

Output
Its calculated total energy is -2.47 eV per atom. For the energy above the lowest structure with this stoichiometry, the calculation gives 39.0 meV/atom.

abc: 6.7097 5.6661 6.4334
angles: 90.00 90.00 90.00
Element x y z (fractional)
Al (0.0000, 0.0000, 0.0000)
Al (0.5000, 0.5000, 0.5000)
Al (0.5000, 0.0000, 0.5000)
Al (0.0000, 0.5000, 0.0000)
Ga (0.3022, 0.2500, 0.1920)
Ga (0.1978, 0.7500, 0.6920)
Ga (0.6978, 0.7500, 0.8080)
Ga (0.8022, 0.2500, 0.3080)
Cd (0.6117, 0.2500, 0.8808)
Cd (0.8883, 0.7500, 0.3808)
Cd (0.3883, 0.7500, 0.1192)
Cd (0.1117, 0.2500, 0.6192)